This record from the Alexandria database describes crystalline Ac2DyAl4Pt3 at its relaxed geometry. The functional is PBE-GGA.

Symmetry   No. 115

a b c (Å): 4.387 4.387 11.673
angles (deg): 90.00 90.00 90.00
Atoms (fractional coordinates):
1 Ac 0.500 0.000 0.230
2 Ac 0.000 0.500 0.770
3 Dy 0.500 0.500 0.500
4 Al 0.500 0.500 0.000
5 Al 0.000 0.000 0.000
6 Al 0.500 0.000 0.664
7 Al 0.000 0.500 0.336
8 Pt 0.000 0.000 0.500
9 Pt 0.500 0.000 0.881
10 Pt 0.000 0.500 0.119

This record from the Alexandria database describes crystalline Tl6Pd at its relaxed geometry. The functional is PBE-GGA.

Symmetry   No. 162

a b c (Å): 6.080 6.243 6.243
angles (deg): 120.00 90.00 90.00
Atoms (fractional coordinates):
1 Tl 0.258 0.000 0.628
2 Tl 0.742 0.000 0.372
3 Tl 0.742 0.628 0.628
4 Tl 0.258 0.628 0.000
5 Tl 0.742 0.372 0.000
6 Tl 0.258 0.372 0.372
7 Pd 0.000 0.000 0.000

This record from the Alexandria database describes crystalline Mn3AlH at its relaxed geometry. The functional is PBE-GGA.

Symmetry   No. 8

a b c (Å): 3.678 4.578 6.878
angles (deg): 76.18 105.50 113.69
Atoms (fractional coordinates):
1 H 0.789 0.437 0.290
2 H 0.533 0.800 0.414
3 Mn 0.784 0.184 0.533
4 Mn 0.291 0.426 0.304
5 Mn 0.530 0.544 0.665
6 Mn 0.533 0.050 0.165
7 Mn 0.033 0.815 0.399
8 Mn 0.792 0.690 0.043
9 Al 0.042 0.310 0.923
10 Al 0.275 0.926 0.773

no.,energy (eV for the cell shown)
1,-54.6
2,-19.4
3,-70.0